Entry 1:
Below is a relaxed structure of Li3Pm3AlSe8, with properties calculated at the PBE-GGA level.

Cell: 8.251 8.251 7.950 Å, 121.29 90.00 120.00°
Fractional coordinates of all 15 atoms:
Li1 0.000 0.000 0.000
Li2 0.000 0.500 0.000
Li3 0.500 0.500 0.000
Pm1 0.000 0.500 0.500
Pm2 0.500 0.000 0.500
Pm3 0.500 0.500 0.500
Se1 0.219 0.989 0.259
Se2 0.230 0.461 0.742
Se3 0.230 0.011 0.741
Se4 0.770 0.539 0.258
Se5 0.770 0.989 0.259
Se6 0.245 0.491 0.237
Se7 0.781 0.011 0.741
Se8 0.755 0.509 0.763
Al1 0.000 0.000 0.500

Results
The symmetry is No. 166. As for the formation energy from raw total energies: -2021 kJ/mol of formula units. Its volume is 375 Å³/cell.

---

Entry 2:
Below is a relaxed structure of Ba6SrAg2, with properties calculated at the PBE-GGA level.

Cell: 10.593 10.593 10.593 Å, 103.98 113.54 111.04°
Fractional coordinates of all 18 atoms:
Ba1 0.686 0.326 0.012
Ba2 0.796 0.553 0.757
Ba3 0.476 0.183 0.293
Ba4 0.314 0.674 0.988
Ba5 0.314 0.326 0.640
Ba6 0.524 0.817 0.707
Ba7 0.796 0.039 0.243
Ba8 0.686 0.674 0.360
Ba9 0.204 0.961 0.757
Ba10 0.889 0.183 0.707
Ba11 0.204 0.447 0.243
Ba12 0.111 0.817 0.293
Ag1 0.500 0.884 0.384
Ag2 0.500 0.116 0.616
Ag3 0.311 0.311 0.000
Ag4 0.689 0.689 0.000
Sr1 0.000 0.500 0.500
Sr2 0.000 0.000 0.000

Results
The symmetry is No. 71. For the energy relative to the elements, the calculation gives -0.10 eV per atom. Its volume is 908 Å³/cell.

---

Entry 3:
Below is a relaxed structure of Pm3Sm2Dy6Tm, with properties calculated at the PBE-GGA level.

Cell: 6.201 6.201 11.836 Å, 95.00 95.00 119.98°
Fractional coordinates of all 12 atoms:
Sm1 0.666 0.334 0.000
Sm2 0.334 0.666 0.000
Dy1 0.584 0.917 0.752
Dy2 0.917 0.584 0.752
Dy3 0.083 0.416 0.248
Dy4 0.249 0.249 0.751
Dy5 0.416 0.083 0.248
Dy6 0.751 0.751 0.249
Pm1 0.167 0.833 0.500
Pm2 0.500 0.500 0.500
Pm3 0.833 0.167 0.500
Tm1 0.000 0.000 0.000

Results
The symmetry is No. 12. For the energy relative to the elements, the calculation gives 0.01 eV per atom. Its volume is 388 Å³/cell.

---

Entry 4:
Below is a relaxed structure of Li2PmGeS4, with properties calculated at the PBE-GGA level.

Cell: 7.661 7.661 7.869 Å, 120.90 120.90 90.07°
Fractional coordinates of all 16 atoms:
Ge1 0.000 0.000 0.000
Ge2 0.500 0.500 0.500
S1 0.743 0.757 0.983
S2 0.255 0.769 0.012
S3 0.257 0.243 0.017
S4 0.257 0.243 0.483
S5 0.269 0.755 0.512
S6 0.743 0.757 0.517
S7 0.745 0.231 0.988
S8 0.731 0.245 0.488
Pm1 0.000 0.500 0.500
Pm2 0.000 0.500 0.000
Li1 0.500 0.500 0.000
Li2 0.500 0.000 0.000
Li3 0.000 0.000 0.500
Li4 0.500 0.000 0.500

Results
The symmetry is No. 74. As for the formation energy from raw total energies: -897 kJ/mol of formula units. Its volume is 317 Å³/cell.

---

Copy entry 1 word for word.
Below is a relaxed structure of Li3Pm3AlSe8, with properties calculated at the PBE-GGA level.

Cell: 8.251 8.251 7.950 Å, 121.29 90.00 120.00°
Fractional coordinates of all 15 atoms:
Li1 0.000 0.000 0.000
Li2 0.000 0.500 0.000
Li3 0.500 0.500 0.000
Pm1 0.000 0.500 0.500
Pm2 0.500 0.000 0.500
Pm3 0.500 0.500 0.500
Se1 0.219 0.989 0.259
Se2 0.230 0.461 0.742
Se3 0.230 0.011 0.741
Se4 0.770 0.539 0.258
Se5 0.770 0.989 0.259
Se6 0.245 0.491 0.237
Se7 0.781 0.011 0.741
Se8 0.755 0.509 0.763
Al1 0.000 0.000 0.500

Results
The symmetry is No. 166. As for the formation energy from raw total energies: -2021 kJ/mol of formula units. Its volume is 375 Å³/cell.

---

Question: What is the formula in the second record?
Answer: Ba6SrAg2